Density functional theory data (PBE) for crystalline Tc2BS at its relaxed geometry.

```
data_Tc2BS
_chemical_formula_sum 'Tc4 B2 S2'
_cell_length_a 5.078
_cell_length_b 5.078
_cell_length_c 5.998
_cell_angle_alpha 64.96
_cell_angle_beta 64.96
_cell_angle_gamma 90.00
_space_group_name_H-M_alt 'P 1'
_space_group_IT_number 1
loop_
_space_group_symop_operation_xyz
'x,y,z'
loop_
_atom_site_label
_atom_site_type_symbol
_atom_site_fract_x
_atom_site_fract_y
_atom_site_fract_z
_atom_site_occupancy
S1 S 0.750 0.250 0.500 1
S2 S 0.000 0.000 0.000 1
Tc1 Tc 0.156 0.625 0.250 1
Tc2 Tc 0.594 0.125 0.250 1
Tc3 Tc 0.375 0.406 0.750 1
Tc4 Tc 0.875 0.844 0.750 1
B1 B 0.250 0.750 0.500 1
B2 B 0.500 0.500 0.000 1
```

## Properties
E_form (uncorrected): 0.281 eV/atom
energy relative to the lowest polymorph listed for this composition: 127.1 meV/atom
DOS(E_F): 0.928 states/eV per atom
ρ: 6.40 g cm⁻³
volume: 15.48 Å³/atom
SG: I-42d